La2HRh after structural relaxation. Source: Alexandria via LeMat-Bulk, functional PBE.

Distance to the lowest polymorph of the same formula   0.36 eV per formula unit
Total magnetic moment   0.0 μB/cell

Geometry as POSCAR:
```
La2HRh
1.0
-1.793 1.671 3.126
0.395 -1.609 3.610
5.205 3.970 3.386
La H Rh
2 1 1
Direct
0.081 0.081 0.757
0.254 0.254 0.239
0.497 0.497 0.508
0.668 0.668 0.997
```